1.
Below is a relaxed GdBr crystal, with properties calculated at the PBE level.

Cell lengths 6.539, 6.539, 6.539 Å; angles 90.00, 90.00, 90.00 degrees
Space group F-43m (No. 216)
One atom of each set of equivalent atoms:
Gd 0.000 0.000 0.000 x4
Br 0.250 0.250 0.250 x4

magnetization = 0.00 μB per formula unit
VASP energy = -3.7012 eV per atom

2.
Below is a relaxed Gd3Br2 crystal, with properties calculated at the PBE level.

Cell lengths 7.1246, 7.1246, 19.4209 Å; angles 90.00, 90.00, 120.00 degrees
Space group R-3c (No. 167, hexagonal axes)
One atom of each set of equivalent atoms:
Gd 0.0000 0.3444 0.2500 x18
Br 0.0000 0.0000 0.1661 x12

magnetization = 0.01 μB per formula unit
VASP energy = -4.1452 eV per atom

3.
Below is a relaxed GdBr2 crystal, with properties calculated at the PBE level.

Cell lengths 7.215, 7.215, 3.796 Å; angles 90.00, 90.00, 90.00 degrees
Space group P4_2/mnm (No. 136)
One atom of each set of equivalent atoms:
Gd 0.000 0.000 0.000 x2
Br 0.215 0.215 0.500 x4

magnetization = 0.07 μB per formula unit
VASP energy = -4.1964 eV per atom

4.
Below is a relaxed Gd4GeBr5 crystal, with properties calculated at the PBE level.

Cell lengths 18.308, 4.098, 8.468 Å; angles 90.00, 102.45, 90.00 degrees
Space group C2/m (No. 12)
One atom of each set of equivalent atoms:
Gd 0.000 0.000 0.225 x4
Gd 0.153 0.500 0.079 x4
Ge 0.000 0.500 0.000 x2
Br 0.000 0.500 0.500 x2
Br 0.166 0.000 0.329 x4
Br 0.172 0.000 0.837 x4

magnetization = 0.01 μB per formula unit
VASP energy = -4.6513 eV per atom

5.
Below is a relaxed Gd2GeBr2 crystal, with properties calculated at the PBE level.

Cell lengths 4.1839, 4.1839, 10.1900 Å; angles 90.00, 90.00, 120.00 degrees
Space group P-3m1 (No. 164)
One atom of each set of equivalent atoms:
Gd 0.3333 0.6667 0.1587 x2
Ge 0.0000 0.0000 0.0000 x1
Br 0.3333 0.6667 0.6686 x2

magnetization = 0.00 μB per formula unit
VASP energy = -4.9171 eV per atom

6.
Below is a relaxed GdH2Br crystal, with properties calculated at the PBE level.

Cell lengths 3.7928, 3.7928, 31.0607 Å; angles 90.00, 90.00, 120.00 degrees
Space group R-3m (No. 166, hexagonal axes)
One atom of each set of equivalent atoms:
Gd 0.0000 0.0000 0.1147 x6
H 0.0000 0.0000 0.1871 x6
H 0.0000 0.0000 0.4544 x6
Br 0.0000 0.0000 0.2814 x6

magnetization = 0.01 μB per formula unit
VASP energy = -4.3474 eV per atom

7.
Below is a relaxed GdHoH2Br4 crystal, with properties calculated at the PBE level.

Cell lengths 3.8412, 3.8412, 14.8032 Å; angles 90.00, 90.00, 120.00 degrees
Space group P-6m2 (No. 187)
One atom of each set of equivalent atoms:
Gd 0.0000 0.0000 0.0000 x1
Ho 0.0000 0.0000 0.5000 x1
H 0.3333 0.6667 0.0000 x1
H 0.6667 0.3333 0.5000 x1
Br 0.3333 0.6667 0.3716 x2
Br 0.6667 0.3333 0.1303 x2

magnetization = 0.00 μB per formula unit
VASP energy = -4.3537 eV per atom

8.
Below is a relaxed Gd2H2I3Br crystal, with properties calculated at the PBE level.

Cell lengths 3.9952, 3.9952, 15.6648 Å; angles 90.00, 90.00, 120.00 degrees
Space group P3m1 (No. 156)
One atom of each set of equivalent atoms:
Gd 0.0000 0.0000 0.0000 x1
Gd 0.0000 0.0000 0.4942 x1
H 0.3333 0.6667 0.9965 x1
H 0.6667 0.3333 0.4946 x1
I 0.3333 0.6667 0.3576 x1
I 0.3333 0.6667 0.6309 x1
I 0.6667 0.3333 0.8631 x1
Br 0.6667 0.3333 0.1200 x1

magnetization = 0.00 μB per formula unit
VASP energy = -4.0789 eV per atom

9.
Below is a relaxed Gd2H2IBr3 crystal, with properties calculated at the PBE level.

Cell lengths 3.9147, 3.9147, 15.0824 Å; angles 90.00, 90.00, 120.00 degrees
Space group P3m1 (No. 156)
One atom of each set of equivalent atoms:
Gd 0.0000 0.0000 0.0000 x1
Gd 0.0000 0.0000 0.4941 x1
H 0.3333 0.6667 0.4945 x1
H 0.6667 0.3333 0.9962 x1
I 0.3333 0.6667 0.8566 x1
Br 0.3333 0.6667 0.1263 x1
Br 0.6667 0.3333 0.3678 x1
Br 0.6667 0.3333 0.6208 x1

magnetization = 0.00 μB per formula unit
VASP energy = -4.2729 eV per atom

10.
Below is a relaxed Gd2H2IBrO2 crystal, with properties calculated at the PBE level.

Cell lengths 3.9772, 3.9772, 10.6647 Å; angles 90.00, 90.00, 120.00 degrees
Space group P3m1 (No. 156)
One atom of each set of equivalent atoms:
Gd 0.0000 0.0000 0.0000 x1
Gd 0.3333 0.6667 0.4845 x1
H 0.6667 0.3333 0.3241 x1
H 0.6667 0.3333 0.8536 x1
I 0.0000 0.0000 0.6918 x1
Br 0.3333 0.6667 0.1861 x1
O 0.6667 0.3333 0.4159 x1
O 0.6667 0.3333 0.9455 x1

magnetization = 1.93 μB per formula unit
VASP energy = -5.1658 eV per atom

11.
Below is a relaxed GdH2BrO2 crystal, with properties calculated at the PBE level.

Cell lengths 6.096, 3.773, 6.871 Å; angles 90.00, 111.47, 90.00 degrees
Space group P2_1/m (No. 11)
One atom of each set of equivalent atoms:
Gd 0.197 0.250 0.380 x2
H 0.189 0.250 0.802 x2
H 0.386 0.750 0.719 x2
Br 0.266 0.750 0.058 x2
O 0.068 0.250 0.660 x2
O 0.398 0.750 0.581 x2

magnetization = 0.00 μB per formula unit
VASP energy = -5.8174 eV per atom

12.
Below is a relaxed PrGdH2Br4 crystal, with properties calculated at the PBE level.

Cell lengths 3.9629, 3.9629, 14.9300 Å; angles 90.00, 90.00, 120.00 degrees
Space group P-6m2 (No. 187)
One atom of each set of equivalent atoms:
Pr 0.0000 0.0000 0.0000 x1
Gd 0.0000 0.0000 0.5000 x1
H 0.3333 0.6667 0.0000 x1
H 0.6667 0.3333 0.5000 x1
Br 0.3333 0.6667 0.3729 x2
Br 0.6667 0.3333 0.1331 x2

magnetization = 0.00 μB per formula unit
VASP energy = -4.3835 eV per atom

13.
Below is a relaxed GdScH2Br4 crystal, with properties calculated at the PBE level.

Cell lengths 3.7486, 3.7486, 14.6552 Å; angles 90.00, 90.00, 120.00 degrees
Space group P-6m2 (No. 187)
One atom of each set of equivalent atoms:
Gd 0.0000 0.0000 0.0000 x1
Sc 0.0000 0.0000 0.5000 x1
H 0.3333 0.6667 0.0000 x1
H 0.6667 0.3333 0.5000 x1
Br 0.3333 0.6667 0.3771 x2
Br 0.6667 0.3333 0.1340 x2

magnetization = 0.00 μB per formula unit
VASP energy = -4.4541 eV per atom

14.
Below is a relaxed GdHoBr6 crystal, with properties calculated at the PBE level.

Cell lengths 7.136, 12.415, 6.975 Å; angles 90.00, 110.87, 90.00 degrees
Space group C2 (No. 5)
One atom of each set of equivalent atoms:
Gd 0.000 0.000 0.000 x2
Ho 0.000 0.331 0.000 x2
Br 0.233 0.168 0.246 x4
Br 0.237 0.342 0.756 x4
Br 0.242 0.987 0.755 x4

magnetization = 0.00 μB per formula unit
VASP energy = -4.2849 eV per atom

15.
Below is a relaxed GdHoBr2N crystal, with properties calculated at the PBE level.

Cell lengths 3.6662, 3.6662, 10.4685 Å; angles 90.00, 90.00, 120.00 degrees
Space group P3m1 (No. 156)
One atom of each set of equivalent atoms:
Gd 0.0000 0.0000 0.0000 x1
Ho 0.3333 0.6667 0.2478 x1
Br 0.0000 0.0000 0.4325 x1
Br 0.3333 0.6667 0.8112 x1
N 0.6667 0.3333 0.1299 x1

magnetization = 0.01 μB per formula unit
VASP energy = -5.9030 eV per atom

16.
Below is a relaxed GdHoBr2O2 crystal, with properties calculated at the PBE level.

Cell lengths 3.840, 3.840, 8.436 Å; angles 90.00, 90.00, 90.00 degrees
Space group P4mm (No. 99)
One atom of each set of equivalent atoms:
Gd 0.000 0.000 0.000 x1
Ho 0.500 0.500 0.272 x1
Br 0.000 0.000 0.467 x1
Br 0.500 0.500 0.806 x1
O 0.000 0.500 0.140 x2

magnetization = 0.00 μB per formula unit
VASP energy = -6.6703 eV per atom

17.
Below is a relaxed GdHoSbBr2 crystal, with properties calculated at the PBE level.

Cell lengths 4.2293, 4.2293, 10.8082 Å; angles 90.00, 90.00, 120.00 degrees
Space group P3m1 (No. 156)
One atom of each set of equivalent atoms:
Gd 0.0000 0.0000 0.0000 x1
Ho 0.3333 0.6667 0.3214 x1
Sb 0.6667 0.3333 0.1638 x1
Br 0.0000 0.0000 0.4780 x1
Br 0.3333 0.6667 0.8398 x1

magnetization = 0.00 μB per formula unit
VASP energy = -4.8063 eV per atom

18.
Below is a relaxed Gd2Ho2SiBr5 crystal, with properties calculated at the PBE level.

Cell lengths 18.163, 4.048, 8.448 Å; angles 90.00, 102.35, 90.00 degrees
Space group C2/m (No. 12)
One atom of each set of equivalent atoms:
Gd 0.000 0.000 0.222 x4
Ho 0.149 0.500 0.078 x4
Si 0.000 0.500 0.000 x2
Br 0.000 0.500 0.500 x2
Br 0.167 0.000 0.324 x4
Br 0.174 0.000 0.845 x4

magnetization = 0.00 μB per formula unit
VASP energy = -4.6882 eV per atom

19.
Below is a relaxed Gd2PIBr crystal, with properties calculated at the PBE level.

Cell lengths 4.0938, 4.0938, 10.6611 Å; angles 90.00, 90.00, 120.00 degrees
Space group P3m1 (No. 156)
One atom of each set of equivalent atoms:
Gd 0.0000 0.0000 0.0000 x1
Gd 0.3333 0.6667 0.2854 x1
P 0.6667 0.3333 0.1431 x1
I 0.3333 0.6667 0.8049 x1
Br 0.0000 0.0000 0.4558 x1

magnetization = 0.01 μB per formula unit
VASP energy = -5.2470 eV per atom

20.
Below is a relaxed Gd2SbIBr crystal, with properties calculated at the PBE level.

Cell lengths 4.3168, 4.3168, 11.0956 Å; angles 90.00, 90.00, 120.00 degrees
Space group P3m1 (No. 156)
One atom of each set of equivalent atoms:
Gd 0.0000 0.0000 0.0000 x1
Gd 0.3333 0.6667 0.3120 x1
Sb 0.6667 0.3333 0.1565 x1
I 0.3333 0.6667 0.8223 x1
Br 0.0000 0.0000 0.4664 x1

magnetization = 0.00 μB per formula unit
VASP energy = -4.7222 eV per atom